Record 1
The following is a DFT calculation (PBE) of La5Tb3Se8 after structural relaxation.

Properties
ΔE_f (raw): -1.911 eV/atom
VASP energy: -6.062 eV per atom
Density of states at the Fermi level: 0.66 states/eV per atom
Total magnetization: 0.000 μB per atom

Cell: 8.453 8.453 8.480 Å, 60.10 60.10 60.00°
Element x y z (fractional)
1 La 0.000 0.500 0.000
2 La 0.500 0.000 0.000
3 La 0.500 0.500 0.500
4 La 0.500 0.500 0.000
5 La 0.000 0.000 0.000
6 Se 0.250 0.762 0.738
7 Se 0.244 0.244 0.267
8 Se 0.250 0.250 0.738
9 Se 0.750 0.238 0.262
10 Se 0.756 0.756 0.733
11 Se 0.750 0.750 0.262
12 Se 0.238 0.750 0.262
13 Se 0.762 0.250 0.738
14 Tb 0.000 0.000 0.500
15 Tb 0.000 0.500 0.500
16 Tb 0.500 0.000 0.500


Record 2
The following is a DFT calculation (PBE) of La4Tb3Se8 after structural relaxation.

Properties
ΔE_f (raw): -1.910 eV/atom
VASP energy: -6.008 eV per atom
Energy above the lowest structure with this stoichiometry: 0.000 eV/f.u.
Density of states at the Fermi level: 0.54 states/eV per atom
Total magnetization: 0.000 μB per atom

Cell: 8.452 8.417 8.417 Å, 89.96 120.19 120.19°
Element x y z (fractional)
1 Se 0.513 0.262 0.262
2 Se 0.988 0.739 0.739
3 Se 0.012 0.261 0.261
4 Se 0.487 0.738 0.738
5 Se 0.000 0.256 0.744
6 Se 0.000 0.744 0.256
7 Se 0.500 0.255 0.745
8 Se 0.500 0.745 0.255
9 Tb 0.500 0.500 0.500
10 Tb 0.500 0.000 0.500
11 Tb 0.500 0.500 0.000
12 La 0.000 0.000 0.500
13 La 0.000 0.000 0.000
14 La 0.500 0.000 0.000
15 La 0.000 0.500 0.000